(1)
4
Lattice="0.0000 3.6988 3.6988 3.6988 0.0000 3.6988 3.6988 3.6988 0.0000" Properties=species:S:1:pos:R:3 comment="CaYBr2, optimized geometry, DFT PBE-GGA" raw_formation_energy_ev_per_atom=-0.828 de_polymorph_mev_per_atom=423 pbc="T T T"
Br 5.5481 5.5481 5.5481
Br 1.8494 1.8494 1.8494
Y 3.6988 3.6988 3.6988
Ca 0.0000 0.0000 0.0000

---

(2)
19
Lattice="-3.3498 -5.6887 0.2998 5.7061 -2.2906 -2.4219 1.7158 0.5219 6.3605" Properties=species:S:1:pos:R:3 comment="Na6SnF12, optimized geometry, DFT PBE-GGA" raw_formation_energy_ev_per_atom=-2.404 pbc="T T T"
F 5.8640 -2.4424 -0.4313
F 2.0891 -3.8233 -0.2445
F -1.7918 -5.0150 4.6697
F -1.4416 -6.2015 -0.0264
F 1.0334 -1.3475 6.1362
F 1.0346 -5.8030 1.5779
F 5.5137 -1.2559 4.2648
F -0.2510 -3.4511 2.6587
F 4.3231 -4.0062 1.5797
F 3.0387 -6.1099 -1.8979
F 3.0375 -1.6544 2.6605
F 1.9830 -3.6341 4.4829
Na 3.4803 -2.1045 0.4586
Na 3.1556 -5.7380 0.6390
Na 0.5918 -5.3529 3.7798
Na -0.0866 -4.0695 0.4282
Na 0.9166 -1.7194 3.5994
Na 4.1588 -3.3878 3.8101
Sn 0.0000 0.0000 0.0000

---

(3)
10
Lattice="4.2220 0.0000 0.0000 0.0000 4.2220 0.0000 0.0000 0.0000 10.0104" Properties=species:S:1:pos:R:3 comment="Na2Si4AgPt3, optimized geometry, DFT PBE-GGA" raw_formation_energy_ev_per_atom=-0.438 pbc="T T T"
Na 0.0000 2.1110 7.5196
Na 2.1110 0.0000 2.4908
Pt 0.0000 0.0000 5.0052
Pt 2.1110 0.0000 8.7594
Pt 0.0000 2.1110 1.2511
Si 0.0000 2.1110 3.6446
Si 0.0000 0.0000 0.0000
Si 2.1110 0.0000 6.3658
Si 2.1110 2.1110 0.0000
Ag 2.1110 2.1110 5.0052

---

(4)
9
Lattice="4.6079 0.0000 0.0000 0.0000 4.6079 0.0000 0.0000 0.0000 11.7544" Properties=species:S:1:pos:R:3 comment="Ce5Bi2OsO, optimized geometry, DFT PBE-GGA" raw_formation_energy_ev_per_atom=-0.914 pbc="T T T"
Ce 2.3040 2.3040 0.0000
Ce 2.3040 0.0000 5.8772
Ce 0.0000 2.3040 5.8772
Ce 0.0000 0.0000 9.2163
Ce 0.0000 0.0000 2.5381
O 0.0000 0.0000 5.8772
Os 0.0000 0.0000 0.0000
Bi 2.3040 2.3040 3.3793
Bi 2.3040 2.3040 8.3751

---

(5)
4
Lattice="3.0737 -0.0020 -0.0015 -0.6296 3.0195 -0.0027 -0.6842 -0.8261 3.7231" Properties=species:S:1:pos:R:3 comment="SiB2C, optimized geometry, DFT PBE-GGA" raw_formation_energy_ev_per_atom=0.325 de_polymorph_mev_per_atom=63 pbc="T T T"
B -0.0327 2.3777 0.7798
B 0.8907 0.9945 0.2078
Si 1.5354 2.1433 2.0840
C 1.6567 0.6327 3.2351

---

(6)
4
Lattice="1.8559 0.0000 9.9938 -0.9280 1.6073 9.9938 -0.9280 -1.6073 9.9938" Properties=species:S:1:pos:R:3 comment="Sc2ReHg, optimized geometry, DFT PBE-GGA" formation_enthalpy_0k_ev_per_atom=0.153 pbc="T T T"
Sc 0.0000 0.0000 3.0377
Sc 0.0000 0.0000 26.9437
Hg 0.0000 0.0000 0.0000
Re 0.0000 0.0000 14.9907

---

(7)
32
Lattice="6.9635 0.0000 0.0000 0.0000 6.8549 -0.2327 0.0000 1.8137 9.2678" Properties=species:S:1:pos:R:3 comment="Y2GeO5, optimized geometry, DFT PBE-GGA" raw_formation_energy_ev_per_atom=-2.904 de_polymorph_mev_per_atom=7 pbc="T T T"
O 6.4595 1.3927 1.2813
O 4.8029 1.7100 8.3658
O 2.6380 1.6654 5.5823
O 3.9858 4.8201 1.1649
O 2.4571 3.9108 3.5163
O 5.6424 5.1374 8.2495
O 0.4703 2.9111 7.2025
O 3.0115 6.3385 7.0862
O 3.9520 2.3300 1.9489
O 2.1606 6.9586 0.6693
O 5.9389 1.3303 5.6352
O 6.1198 3.5758 3.5691
O 0.5040 7.2759 7.7538
O 1.0247 7.3382 3.3999
O 0.8438 5.0928 5.4660
O 6.4933 5.7575 1.8325
O 4.3255 7.0032 3.4528
O 4.5064 4.7578 5.5188
O 1.3211 3.5312 0.7856
O 2.9778 3.8485 7.8702
Ge 0.7130 7.1185 1.6336
Ge 2.7688 3.6910 1.7499
Ge 4.1948 4.9776 7.2852
Ge 6.2505 1.5501 7.4015
Y 0.9898 5.0783 7.7376
Y 4.4715 7.0178 1.1811
Y 2.4920 1.6508 7.8540
Y 2.6572 6.2565 4.7503
Y 5.9738 3.5903 1.2975
Y 4.3063 2.4121 4.2848
Y 6.1390 5.8395 4.1685
Y 0.8245 2.8291 4.8666

---

(8)
24
Lattice="9.7040 0.0000 0.0000 -4.8520 8.4039 0.0000 0.0000 0.0000 6.2028" Properties=species:S:1:pos:R:3 comment="Sm3AlCoS7, optimized geometry, DFT PBE-GGA" raw_formation_energy_ev_per_atom=-1.558 pbc="T T T"
S 0.1507 1.8405 1.1199
S -0.2175 7.6496 3.0845
S 2.9704 3.6365 6.1859
S 4.8520 2.8013 3.0430
S 1.6693 0.7898 4.2213
S 8.1853 1.0508 4.2213
S -3.3334 7.3531 1.1199
S 5.0695 0.7542 6.1859
S 0.0000 5.6026 6.1444
S 6.5160 4.0132 6.1859
S 3.1827 7.6141 1.1199
S 1.8815 4.7674 3.0845
S -1.6641 4.3907 3.0845
S 4.7013 6.5633 4.2213
Sm 1.9795 7.0861 4.8039
Sm 0.2950 3.1465 4.8039
Sm 7.1265 1.8287 1.7025
Sm -2.2745 6.5751 4.8039
Sm 2.8724 1.3178 1.7025
Sm 4.5570 5.2574 1.7025
Co 0.0000 0.0000 5.7978
Co 0.0000 0.0000 2.6964
Al 0.0000 5.6026 2.1759
Al 4.8520 2.8013 5.2773